Computed, not measured: a geometry-optimized PSeI structure at the PBE level of DFT.

Computed properties:
uncorrected formation energy	0.21	eV per formula unit
SG	P-1

a = 3.576 Å, b = 7.141 Å, c = 9.036 Å
α = 71.12°, β = 78.69°, γ = 75.55°
Fractional coordinates of all 6 atoms:
P: 0.166 0.319 0.349
P: 0.834 0.681 0.651
Se: 0.344 0.503 0.809
Se: 0.656 0.497 0.191
I: 0.363 0.993 0.281
I: 0.637 0.007 0.719


Computed, not measured: a geometry-optimized P4Se5I2 structure at the PBE level of DFT.

Computed properties:
uncorrected formation energy	1.81	eV per formula unit
SG	P-1

a = 5.910 Å, b = 8.236 Å, c = 8.811 Å
α = 114.16°, β = 95.41°, γ = 101.07°
Fractional coordinates of all 11 atoms:
P: 0.025 0.140 0.016
P: 0.115 0.819 0.738
P: 0.885 0.181 0.262
P: 0.975 0.860 0.984
Se: 0.000 0.500 0.500
Se: 0.181 0.988 0.268
Se: 0.367 0.049 0.731
Se: 0.633 0.951 0.269
Se: 0.819 0.012 0.732
I: 0.354 0.548 0.761
I: 0.646 0.452 0.239


Computed, not measured: a geometry-optimized P2Se2I structure at the PBE level of DFT.

Computed properties:
uncorrected formation energy	0.82	eV per formula unit
SG	P-1

a = 5.944 Å, b = 7.399 Å, c = 7.754 Å
α = 66.26°, β = 88.30°, γ = 71.65°
Fractional coordinates of all 10 atoms:
P: 0.001 0.177 0.415
P: 0.373 0.176 0.449
P: 0.627 0.824 0.551
P: 0.999 0.823 0.585
Se: 0.040 0.243 0.108
Se: 0.287 0.250 0.703
Se: 0.713 0.750 0.297
Se: 0.960 0.757 0.892
I: 0.345 0.734 0.105
I: 0.655 0.266 0.895